Here is crystalline TaAlSn at its relaxed geometry from the Alexandria database. Energies are from PBE.

abc: 3.8440 3.8440 8.1084
angles: 90.00 90.00 90.00
Element x y z (fractional)
Al  0.0000  0.0000  0.0000
Al  0.5000  0.5000  0.0000
Sn  0.0000  0.5000  0.3615
Sn  0.5000  0.0000  0.6385
Ta  0.0000  0.5000  0.7415
Ta  0.5000  0.0000  0.2585

- formation energy (meV/atom) = 115


Here is crystalline DyTmBePd at its relaxed geometry from the Alexandria database. Energies are from PBE.

abc: 4.8803 4.8803 4.8803
angles: 60.00 60.00 60.00
Element x y z (fractional)
Be  0.5000  0.5000  0.5000
Tm  0.2500  0.2500  0.2500
Pd  0.0000  0.0000  0.0000
Dy  0.7500  0.7500  0.7500

- formation energy (meV/atom) = -379


Number 1: size of the total moment 0.000 μB per cell. Number 2: size of the total moment 0.000 μB per cell.